Material: Ag2OsPb
Method: DFT, SCAN
State: single point on PBEsol structure

total moment = 1.82 μB/cell
formation energy = 0.762 eV per atom

Lattice parameters (Å, degrees): 3.050 4.955 9.716 90.00 90.00 90.00
Space group Cmm2 (No. 35)
Asymmetric unit:
Ag: 0.000 0.000 0.000 x2
Ag: 0.000 0.500 0.235 x2
Os: 0.000 0.000 0.468 x2
Pb: 0.000 0.500 0.715 x2

Material: Ta5Rh
Method: DFT, SCAN
State: single point on PBEsol structure

total moment = 0.00 μB/cell
formation energy = 0.105 eV per atom

Lattice parameters (Å, degrees): 4.9150 4.9150 4.9445 90.00 90.00 120.00
Space group P-62m (No. 189)
Asymmetric unit:
Ta: 0.0000 0.6695 0.0000 x3
Ta: 0.3333 0.6667 0.5000 x2
Rh: 0.0000 0.0000 0.5000 x1

Material: EuCd11
Method: DFT, SCAN
State: single point on PBEsol structure

total moment = 28.68 μB/cell
formation energy = -0.173 eV per atom

Lattice parameters (Å, degrees): 11.781 11.781 7.580 90.00 90.00 90.00
Space group I4_1/amd (No. 141, origin choice 2)
Asymmetric unit:
Eu: 0.000 0.250 0.375 x4
Cd: 0.000 0.000 0.000 x8
Cd: 0.000 0.250 0.875 x4
Cd: 0.120 0.047 0.673 x32

Material: BaYCd2
Method: DFT, SCAN
State: single point on PBEsol structure

total moment = 0.00 μB/cell
formation energy = -0.410 eV per atom

Lattice parameters (Å, degrees): 3.823 3.823 8.088 90.00 90.00 90.00
Space group P4/mmm (No. 123)
Asymmetric unit:
Ba: 0.000 0.000 0.000 x1
Y: 0.000 0.000 0.500 x1
Cd: 0.500 0.500 0.296 x2

Material: CrNiPO5
Method: DFT, SCAN
State: single point on PBEsol structure

total moment = 20.00 μB/cell
energy relative to the elements, uncorrected = -2.27 eV per atom

Lattice parameters (Å, degrees): 7.464 7.480 7.060 90.00 121.43 90.00
Space group C2/c (No. 15)
Asymmetric unit:
Cr: 0.250 0.250 0.000 x4
Ni: 0.000 0.000 0.000 x4
P: 0.000 0.377 0.250 x4
O: 0.000 0.136 0.750 x4
O: 0.068 0.253 0.124 x8
O: 0.189 0.498 0.401 x8

Material: CoTc
Method: DFT, SCAN
State: single point on PBEsol structure

total moment = 0.00 μB/cell
formation energy = 0.203 eV per atom

Lattice parameters (Å, degrees): 3.655 3.655 7.160 90.00 90.00 90.00
Space group I4_1/amd (No. 141, origin choice 2)
Asymmetric unit:
Co: 0.000 0.250 0.375 x4
Tc: 0.000 0.250 0.875 x4

Material: K2CrAgCl
Method: DFT, SCAN
State: single point on PBEsol structure

total moment = 5.27 μB/cell
energy relative to the elements, uncorrected = 0.19 eV per atom

Lattice parameters (Å, degrees): 6.424 6.424 4.873 90.00 90.00 90.00
Space group P4/mmm (No. 123)
Asymmetric unit:
K: 0.000 0.500 0.000 x2
Cr: 0.000 0.000 0.500 x1
Ag: 0.500 0.500 0.000 x1
Cl: 0.500 0.500 0.500 x1

Material: FePRu2
Method: DFT, SCAN
State: single point on PBEsol structure

total moment = 7.24 μB/cell
formation energy = 0.146 eV per atom

Lattice parameters (Å, degrees): 2.855 4.658 7.842 90.00 90.00 90.00
Space group Cmmm (No. 65)
Asymmetric unit:
Fe: 0.000 0.000 0.000 x2
P: 0.000 0.000 0.500 x2
Ru: 0.000 0.500 0.273 x4

Material: CaTcS2
Method: DFT, SCAN
State: single point on PBEsol structure

total moment = 5.28 μB/cell
energy relative to the elements, uncorrected = -0.55 eV per atom

Lattice parameters (Å, degrees): 3.5498 3.5498 23.9330 90.00 90.00 120.00
Space group R-3m (No. 166, hexagonal axes)
Asymmetric unit:
Ca: 0.0000 0.0000 0.0000 x3
Tc: 0.0000 0.0000 0.5000 x3
S: 0.0000 0.0000 0.1128 x6

Material: TlOsRu2
Method: DFT, SCAN
State: single point on PBEsol structure

total moment = 1.61 μB/cell
formation energy = 0.829 eV per atom

Lattice parameters (Å, degrees): 4.596 4.596 2.915 90.00 90.00 90.00
Space group P4/mmm (No. 123)
Asymmetric unit:
Tl: 0.000 0.000 0.000 x1
Os: 0.500 0.500 0.000 x1
Ru: 0.000 0.500 0.500 x2

Material: Lu6GaNi2
Method: DFT, SCAN
State: single point on PBEsol structure

total moment = 0.00 μB/cell
formation energy = -0.460 eV per atom

Lattice parameters (Å, degrees): 8.906 9.148 9.579 90.00 90.00 90.00
Space group Immm (No. 71)
Asymmetric unit:
Lu: 0.000 0.197 0.238 x8
Lu: 0.195 0.500 0.173 x8
Lu: 0.217 0.319 0.500 x8
Ga: 0.000 0.000 0.000 x2
Ga: 0.000 0.000 0.500 x2
Ni: 0.000 0.347 0.000 x4
Ni: 0.000 0.500 0.377 x4

Material: BeAlWS2
Method: DFT, SCAN
State: single point on PBEsol structure

total moment = 2.14 μB/cell
energy relative to the elements, uncorrected = 1.46 eV per atom

Lattice parameters (Å, degrees): 4.329 4.329 4.961 90.00 90.00 90.00
Space group P4/mmm (No. 123)
Asymmetric unit:
Be: 0.000 0.000 0.000 x1
Al: 0.500 0.500 0.500 x1
W: 0.500 0.500 0.000 x1
S: 0.000 0.500 0.500 x2

Material: Ag3SeCl
Method: DFT, SCAN
State: single point on PBEsol structure

total moment = 0.00 μB/cell
energy relative to the elements, uncorrected = 0.29 eV per atom

Lattice parameters (Å, degrees): 4.816 4.816 4.816 90.00 90.00 90.00
Space group Pm-3m (No. 221)
Asymmetric unit:
Ag: 0.000 0.000 0.500 x3
Se: 0.500 0.500 0.500 x1
Cl: 0.000 0.000 0.000 x1

Material: MgTlCF2
Method: DFT, SCAN
State: single point on PBEsol structure

total moment = 0.00 μB/cell
energy relative to the elements, uncorrected = 0.15 eV per atom

Lattice parameters (Å, degrees): 4.044 4.044 4.691 90.00 90.00 90.00
Space group P4/mmm (No. 123)
Asymmetric unit:
Mg: 0.000 0.000 0.000 x1
Tl: 0.500 0.500 0.000 x1
C: 0.500 0.500 0.500 x1
F: 0.000 0.500 0.500 x2

Material: YMn2
Method: DFT, SCAN
State: single point on PBEsol structure

total moment = 0.62 μB/cell
formation energy = 0.003 eV per atom

Lattice parameters (Å, degrees): 3.698 10.289 5.013 90.00 90.00 90.00
Space group Cmcm (No. 63)
Asymmetric unit:
Y: 0.000 0.213 0.250 x4
Mn: 0.000 0.052 0.750 x4
Mn: 0.000 0.500 0.000 x4

Material: Ca3CdCl
Method: DFT, SCAN
State: single point on PBEsol structure

total moment = 0.00 μB/cell
energy relative to the elements, uncorrected = -0.38 eV per atom

Lattice parameters (Å, degrees): 5.834 5.834 5.834 90.00 90.00 90.00
Space group Pm-3m (No. 221)
Asymmetric unit:
Ca: 0.000 0.000 0.500 x3
Cd: 0.000 0.000 0.000 x1
Cl: 0.500 0.500 0.500 x1

Material: ZnHgMoRh2
Method: DFT, SCAN
State: single point on PBEsol structure

total moment = 3.55 μB/cell
formation energy = 1.199 eV per atom

Lattice parameters (Å, degrees): 4.480 4.480 4.592 90.00 90.00 90.00
Space group P4/mmm (No. 123)
Asymmetric unit:
Zn: 0.000 0.000 0.000 x1
Hg: 0.000 0.000 0.500 x1
Mo: 0.500 0.500 0.500 x1
Rh: 0.000 0.500 0.000 x2

Material: ZrPd
Method: DFT, SCAN
State: single point on PBEsol structure

total moment = 0.00 μB/cell
formation energy = -0.794 eV per atom

Lattice parameters (Å, degrees): 3.313 10.282 4.329 90.00 90.00 90.00
Space group Cmcm (No. 63)
Asymmetric unit:
Zr: 0.000 0.142 0.250 x4
Pd: 0.000 0.412 0.250 x4

Material: Pr3S4
Method: DFT, SCAN
State: single point on PBEsol structure

total moment = 0.00 μB/cell
energy relative to the elements, uncorrected = -2.31 eV per atom

Lattice parameters (Å, degrees): 8.517 8.517 8.517 90.00 90.00 90.00
Space group I-43d (No. 220)
Asymmetric unit:
Pr: 0.000 0.250 0.875 x12
S: 0.076 0.424 0.576 x16

Material: Fe4MoRu
Method: DFT, SCAN
State: single point on PBEsol structure

total moment = 25.95 μB/cell
formation energy = 0.097 eV per atom

Lattice parameters (Å, degrees): 6.515 6.515 6.515 90.00 90.00 90.00
Space group F-43m (No. 216)
Asymmetric unit:
Fe: 0.125 0.125 0.125 x16
Mo: 0.250 0.250 0.750 x4
Ru: 0.000 0.000 0.500 x4

| no. | mass density (Mg/m³) | uncorrected energy (eV per atom) |
| --- | --- | --- |
| 1 | 13.9 | -51.837 |
| 2 | 16.2 | -61.009 |
| 3 | 8.8 | -32.528 |
| 4 | 6.3 | -32.466 |
| 5 | 4.4 | -11.784 |
| 6 | 10.9 | -25.979 |
| 7 | 2.3 | -14.687 |
| 8 | 9.2 | -24.400 |
| 9 | 3.9 | -16.543 |
| 10 | 16.1 | -52.644 |
| 11 | 10.5 | -42.767 |
| 12 | 5.1 | -18.746 |
| 13 | 6.5 | -24.140 |
| 14 | 6.0 | -18.753 |
| 15 | 6.9 | -21.448 |
| 16 | 2.2 | -13.859 |
| 17 | 10.2 | -35.622 |
| 18 | 8.9 | -32.531 |
| 19 | 5.9 | -26.381 |
| 20 | 10.1 | -23.608 |